1.
# PBE Ac4NdN4, relaxed
# total magnetization = 0.000 μB/atom
# D(E_F) = 7.353 states/eV per cell
# ΔE_f (raw) = -1.01 eV per atom
# crystal system = monoclinic
data_Ac4NdN4
_space_group_name_H-M_alt 'C 1 2/m 1'
_space_group_IT_number 12
_space_group_name_Hall '-C 2y'
_cell_length_a 12.8718
_cell_length_b 3.8127
_cell_length_c 9.6419
_cell_angle_alpha 90.00
_cell_angle_beta 120.26
_cell_angle_gamma 90.00
loop_
_atom_site_label
_atom_site_fract_x
_atom_site_fract_y
_atom_site_fract_z
Ac1 0.1024 0.0000 0.3752
Ac2 0.2068 0.5000 0.8134
Nd1 0.0000 0.5000 0.0000
N1 0.1001 0.0000 0.9113
N2 0.1887 0.5000 0.2927


2.
# PBE ZnReRh, relaxed
# total magnetization = 0.000 μB/atom
# formation enthalpy at 0 K = -0.06 eV/f.u.
# D(E_F) = 3.213 states/eV per cell
# energy relative to the lowest polymorph listed for this composition = 155 meV/atom
# crystal system = trigonal
data_ZnReRh
_space_group_name_H-M_alt 'P 3 m 1'
_space_group_IT_number 156
_space_group_name_Hall 'P 3 -2"'
_cell_length_a 2.7475
_cell_length_b 2.7475
_cell_length_c 6.6446
_cell_angle_alpha 90.00
_cell_angle_beta 90.00
_cell_angle_gamma 120.00
loop_
_atom_site_label
_atom_site_fract_x
_atom_site_fract_y
_atom_site_fract_z
Zn1 0.0000 0.0000 0.0000
Re1 0.6667 0.3333 0.3454
Rh1 0.3333 0.6667 0.6675


3.
# PBE GaB2P, relaxed
# total magnetization = 0.000 μB/atom
# formation enthalpy at 0 K = 1.13 eV/f.u.
# D(E_F) = 2.883 states/eV per cell
# energy relative to the lowest polymorph listed for this composition = 0 meV/atom
# crystal system = tetragonal
data_GaB2P
_space_group_name_H-M_alt 'I -4 2 d'
_space_group_IT_number 122
_space_group_name_Hall 'I -4 2bw'
_cell_length_a 4.8915
_cell_length_b 4.8915
_cell_length_c 8.7566
_cell_angle_alpha 90.00
_cell_angle_beta 90.00
_cell_angle_gamma 90.00
loop_
_atom_site_label
_atom_site_fract_x
_atom_site_fract_y
_atom_site_fract_z
Ga1 0.0000 0.0000 0.0000
B1 0.2114 0.2500 0.6250
P1 0.0000 0.0000 0.5000


4.
# PBE TbDy6Al2, relaxed
# total magnetization = 0.000 μB/atom
# formation enthalpy at 0 K = 4.65 eV/f.u.
# D(E_F) = 21.310 states/eV per cell
# energy relative to the lowest polymorph listed for this composition = 683 meV/atom
# crystal system = tetragonal
data_TbDy6Al2
_space_group_name_H-M_alt 'I -4 2 m'
_space_group_IT_number 121
_space_group_name_Hall 'I -4 2'
_cell_length_a 4.7641
_cell_length_b 4.7641
_cell_length_c 27.6648
_cell_angle_alpha 90.00
_cell_angle_beta 90.00
_cell_angle_gamma 90.00
loop_
_atom_site_label
_atom_site_fract_x
_atom_site_fract_y
_atom_site_fract_z
Tb1 0.0000 0.0000 0.0000
Dy1 0.0000 0.5000 0.2500
Dy2 0.2477 0.2477 0.1031
Al1 0.0000 0.0000 0.3146


5.
# PBE RbMo2RhSe, relaxed
# total magnetization = 0.760 μB/atom
# D(E_F) = 6.484 states/eV per cell
# ΔE_f (raw) = 1.44 eV per atom
# crystal system = tetragonal
data_RbMo2RhSe
_space_group_name_H-M_alt 'P 4/m m m'
_space_group_IT_number 123
_space_group_name_Hall '-P 4 2'
_cell_length_a 4.8024
_cell_length_b 4.8024
_cell_length_c 6.0757
_cell_angle_alpha 90.00
_cell_angle_beta 90.00
_cell_angle_gamma 90.00
loop_
_atom_site_label
_atom_site_fract_x
_atom_site_fract_y
_atom_site_fract_z
Rb1 0.0000 0.0000 0.0000
Mo1 0.0000 0.5000 0.5000
Rh1 0.0000 0.0000 0.5000
Se1 0.5000 0.5000 0.0000


6.
# PBE Y2PtO, relaxed
# total magnetization = 0.000 μB/atom
# D(E_F) = 9.038 states/eV per cell
# ΔE_f (raw) = -1.94 eV per atom
# crystal system = monoclinic
data_Y2PtO
_space_group_name_H-M_alt 'P 1 2/c 1'
_space_group_IT_number 13
_space_group_name_Hall '-P 2yc'
_cell_length_a 5.8671
_cell_length_b 5.8119
_cell_length_c 10.9571
_cell_angle_alpha 90.00
_cell_angle_beta 115.96
_cell_angle_gamma 90.00
loop_
_atom_site_label
_atom_site_fract_x
_atom_site_fract_y
_atom_site_fract_z
Y1 0.0435 0.2375 0.0940
Y2 0.3192 0.2047 0.8530
Pt1 0.4178 0.3049 0.3616
O1 0.0374 0.1443 0.6234


7.
# PBE LiZr2RuN, relaxed
# total magnetization = 0.000 μB/atom
# D(E_F) = 4.193 states/eV per cell
# ΔE_f (raw) = -0.69 eV per atom
# crystal system = tetragonal
data_LiZr2RuN
_space_group_name_H-M_alt 'P 4/m m m'
_space_group_IT_number 123
_space_group_name_Hall '-P 4 2'
_cell_length_a 4.4973
_cell_length_b 4.4973
_cell_length_c 3.6981
_cell_angle_alpha 90.00
_cell_angle_beta 90.00
_cell_angle_gamma 90.00
loop_
_atom_site_label
_atom_site_fract_x
_atom_site_fract_y
_atom_site_fract_z
Li1 0.0000 0.0000 0.0000
Zr1 0.0000 0.5000 0.5000
Ru1 0.5000 0.5000 0.0000
N1 0.0000 0.0000 0.5000


8.
# PBE Th2CoBi2, relaxed
# total magnetization = 0.000 μB/atom
# formation enthalpy at 0 K = -2.25 eV/f.u.
# D(E_F) = 7.425 states/eV per cell
# crystal system = orthorhombic
data_Th2CoBi2
_space_group_name_H-M_alt 'P b a m'
_space_group_IT_number 55
_space_group_name_Hall '-P 2 2ab'
_cell_length_a 6.1176
_cell_length_b 11.9238
_cell_length_c 3.7971
_cell_angle_alpha 90.00
_cell_angle_beta 90.00
_cell_angle_gamma 90.00
loop_
_atom_site_label
_atom_site_fract_x
_atom_site_fract_y
_atom_site_fract_z
Th1 0.2186 0.1100 0.0000
Co1 0.0000 0.0000 0.5000
Bi1 0.1847 0.3540 0.5000


9.
# PBE Ce2SnC, relaxed
# total magnetization = 0.000 μB/atom
# formation enthalpy at 0 K = -0.98 eV/f.u.
# D(E_F) = 5.763 states/eV per cell
# crystal system = tetragonal
data_Ce2SnC
_space_group_name_H-M_alt 'P 4/m m m'
_space_group_IT_number 123
_space_group_name_Hall '-P 4 2'
_cell_length_a 3.1964
_cell_length_b 3.1964
_cell_length_c 7.9589
_cell_angle_alpha 90.00
_cell_angle_beta 90.00
_cell_angle_gamma 90.00
loop_
_atom_site_label
_atom_site_fract_x
_atom_site_fract_y
_atom_site_fract_z
Ce1 0.0000 0.0000 0.1759
Sn1 0.5000 0.5000 0.5000
C1 0.5000 0.5000 0.0000


10.
# PBE PrTm2In3, relaxed
# total magnetization = 0.000 μB/atom
# formation enthalpy at 0 K = -2.71 eV/f.u.
# D(E_F) = 3.330 states/eV per cell
# crystal system = tetragonal
data_PrTm2In3
_space_group_name_H-M_alt 'P 4/m m m'
_space_group_IT_number 123
_space_group_name_Hall '-P 4 2'
_cell_length_a 3.7473
_cell_length_b 3.7473
_cell_length_c 11.5397
_cell_angle_alpha 90.00
_cell_angle_beta 90.00
_cell_angle_gamma 90.00
loop_
_atom_site_label
_atom_site_fract_x
_atom_site_fract_y
_atom_site_fract_z
Pr1 0.0000 0.0000 0.0000
Tm1 0.0000 0.0000 0.3408
In1 0.5000 0.5000 0.1829
In2 0.5000 0.5000 0.5000


11.
# PBE AuClF2, relaxed
# total magnetization = 0.000 μB/atom
# ΔE_f (raw) = -0.77 eV per atom
# energy relative to the lowest polymorph listed for this composition = 0 meV/atom
# crystal system = orthorhombic
data_AuClF2
_space_group_name_H-M_alt 'P n n a'
_space_group_IT_number 52
_space_group_name_Hall '-P 2a 2bc'
_cell_length_a 7.3456
_cell_length_b 4.6616
_cell_length_c 9.5383
_cell_angle_alpha 90.00
_cell_angle_beta 90.00
_cell_angle_gamma 90.00
loop_
_atom_site_label
_atom_site_fract_x
_atom_site_fract_y
_atom_site_fract_z
Au1 0.2500 0.0000 0.0883
Cl1 0.0755 0.2500 0.2500
F1 0.1226 0.2154 0.9408


12.
# PBE ScRh3Se, relaxed
# total magnetization = 0.000 μB/atom
# D(E_F) = 6.968 states/eV per cell
# ΔE_f (raw) = -0.02 eV per atom
# energy relative to the lowest polymorph listed for this composition = 0 meV/atom
# crystal system = cubic
data_ScRh3Se
_space_group_name_H-M_alt 'P m -3 m'
_space_group_IT_number 221
_space_group_name_Hall '-P 4 2 3'
_cell_length_a 4.5628
_cell_length_b 4.5628
_cell_length_c 4.5628
_cell_angle_alpha 90.00
_cell_angle_beta 90.00
_cell_angle_gamma 90.00
loop_
_atom_site_label
_atom_site_fract_x
_atom_site_fract_y
_atom_site_fract_z
Sc1 0.0000 0.0000 0.0000
Rh1 0.0000 0.5000 0.5000
Se1 0.5000 0.5000 0.5000


no.,VASP energy (eV/atom)
1,-7.065
2,-7.044
3,-5.164
4,-3.897
5,-5.249
6,-7.920
7,-8.013
8,-6.391
9,-6.519
10,-4.109
11,-2.989
12,-6.393